1.
# SrMnTl

An optimized crystal structure of SrMnTl (GGA-PBE, the Alexandria database).

M_tot, μB/atom: 1.293
ΔH_f (0 K), eV per formula unit: 0.70
Electronic total energy, eV per atom: -4.172
D(E_F), states/eV per cell: 5.7

Cell lengths 3.785, 3.785, 11.756 Å; angles 90.00, 90.00, 90.00 degrees
Atoms (fractional coordinates):
Sr (0.000, 0.000, 0.000)
Sr (0.500, 0.500, 0.500)
Mn (0.000, 0.000, 0.300)
Mn (0.500, 0.500, 0.800)
Tl (0.000, 0.000, 0.700)
Tl (0.500, 0.500, 0.200)


2.
# Np4Te3N2

An optimized crystal structure of Np4Te3N2 (GGA-PBE, the Alexandria database).

M_tot, μB/atom: 0.093
Electronic total energy, eV per atom: -9.493
D(E_F), states/eV per cell: 32.5

Cell lengths 7.076, 7.076, 8.954 Å; angles 117.01, 117.01, 32.17 degrees
Atoms (fractional coordinates):
Np (0.125, 0.125, 0.420)
Np (0.306, 0.306, 0.880)
Np (0.694, 0.694, 0.120)
Np (0.875, 0.875, 0.580)
Te (0.000, 0.000, 0.000)
Te (0.396, 0.396, 0.290)
Te (0.604, 0.604, 0.710)
N (0.304, 0.304, 0.633)
N (0.696, 0.696, 0.367)